<w>
Here is a relaxed structure of CsZrPb from OQMD via LeMat-Bulk. Energies are from GGA-PBE.

The structure in extended XYZ format:
```
3
Lattice="0.000 3.771 3.771 3.771 0.000 3.771 3.771 3.771 0.000" Properties=species:S:1:pos:R:3 pbc="T T T"
Cs 1.885 1.885 1.885
Pb 5.656 5.656 5.656
Zr 0.000 0.000 0.000
```

Computed properties:
* space-group type: No. 216

***

<x>
Here is a relaxed structure of CsZrPb from OQMD via LeMat-Bulk. Energies are from GGA-PBE.

The structure in extended XYZ format:
```
3
Lattice="0.000 3.839 3.839 3.839 0.000 3.839 3.839 3.839 0.000" Properties=species:S:1:pos:R:3 pbc="T T T"
Zr 5.759 5.759 5.759
Pb 1.920 1.920 1.920
Cs 0.000 0.000 0.000
```

Computed properties:
* space-group type: No. 216

***

The data favor <w>; the next most stable structure lies 66.0 kJ/mol of atoms above it.